Entry 1:
ScAlP: relaxed, PBE.

Unit cell a=3.612 b=3.612 c=10.348 alpha=90.00 beta=90.00 gamma=120.00
Fractional coordinates of all 6 atoms:
Sc: 0.000 0.000 0.814
Sc: 0.333 0.667 0.518
P: 0.333 0.667 0.977
P: 0.667 0.333 0.662
Al: 0.667 0.333 0.101
Al: 0.000 0.000 0.298

Calculated values
SG	P3m1
DFT formation energy	-0.737	eV/atom
ρ	2923	kg/m³

=====

Entry 2:
ZrIn2Mo: relaxed, PBE.

Unit cell a=5.416 b=5.416 c=5.416 alpha=133.95 beta=133.95 gamma=67.17
Fractional coordinates of all 4 atoms:
In: 0.000 0.000 0.000
In: 0.250 0.750 0.500
Mo: 0.500 0.500 0.000
Zr: 0.750 0.250 0.500

Calculated values
SG	I-4m2
DFT formation energy	0.109	eV/atom
ρ	8545	kg/m³
energy relative to the lowest polymorph listed for this composition	72.9	meV/atom

=====

Entry 3:
Ce2TcSn: relaxed, PBE.

Unit cell a=4.386 b=4.544 c=4.544 alpha=90.00 beta=90.00 gamma=90.00
Fractional coordinates of all 4 atoms:
Sn: 0.500 0.500 0.500
Ce: 0.000 0.000 0.500
Ce: 0.000 0.500 0.000
Tc: 0.500 0.000 0.000

Calculated values
SG	P4/mmm
DFT formation energy	-0.256	eV/atom
ρ	9112	kg/m³
energy relative to the lowest polymorph listed for this composition	62.1	meV/atom

=====

Entry 4:
LaNdTmMg: relaxed, PBE.

Unit cell a=3.748 b=3.748 c=8.953 alpha=90.00 beta=90.00 gamma=90.00
Fractional coordinates of all 4 atoms:
La: 0.000 0.000 0.081
Nd: 0.500 0.500 0.792
Tm: 0.500 0.500 0.352
Mg: 0.000 0.000 0.560

Calculated values
SG	P4mm
DFT formation energy	-0.022	eV/atom
ρ	6290	kg/m³
energy relative to the lowest polymorph listed for this composition	0.0	meV/atom

=====

Entry 5:
KIn2Se: relaxed, PBE.

Unit cell a=7.299 b=7.299 c=7.299 alpha=147.25 beta=138.96 gamma=53.47
Fractional coordinates of all 4 atoms:
In: 0.083 0.083 0.000
In: 0.738 0.238 0.500
K: 0.443 0.443 0.000
Se: 0.237 0.737 0.500

Calculated values
SG	Imm2
uncorrected formation energy	-1.33	eV per formula unit
ρ	4205	kg/m³

=====

Entry 6:
ScTeN2Cl: relaxed, PBE.

Unit cell a=4.128 b=4.128 c=5.108 alpha=90.00 beta=90.00 gamma=90.00
Fractional coordinates of all 5 atoms:
Sc: 0.500 0.500 0.500
N: 0.000 0.500 0.000
N: 0.500 0.000 0.000
Te: 0.000 0.000 0.500
Cl: 0.000 0.000 0.000

Calculated values
SG	P4/mmm
uncorrected formation energy	7.58	eV per formula unit
ρ	4502	kg/m³
energy relative to the lowest polymorph listed for this composition	827.5	meV/atom

=====

Entry 7:
Ac2Pm3NbN6: relaxed, PBE.

Unit cell a=6.346 b=6.346 c=6.150 alpha=99.63 beta=99.63 gamma=120.49
Fractional coordinates of all 12 atoms:
Ac: 0.332 0.668 0.000
Ac: 0.668 0.332 0.000
Pm: 0.156 0.844 0.500
Pm: 0.844 0.156 0.500
Pm: 0.500 0.500 0.500
Nb: 0.000 0.000 0.000
N: 0.921 0.639 0.769
N: 0.784 0.784 0.245
N: 0.079 0.361 0.231
N: 0.639 0.921 0.769
N: 0.216 0.216 0.755
N: 0.361 0.079 0.231

Calculated values
SG	C2/m
uncorrected formation energy	-13.84	eV per formula unit
ρ	8809	kg/m³

=====

Entry 8:
SrRePt3: relaxed, PBE.

Unit cell a=5.086 b=5.086 c=5.086 alpha=90.00 beta=90.00 gamma=90.00
Fractional coordinates of all 5 atoms:
Re: 0.500 0.500 0.500
Pt: 0.000 0.500 0.000
Pt: 0.000 0.000 0.500
Pt: 0.500 0.000 0.000
Sr: 0.000 0.000 0.000

Calculated values
SG	Pm-3m
DFT formation energy	2.315	eV/atom
ρ	10841	kg/m³
energy relative to the lowest polymorph listed for this composition	2139.7	meV/atom

=====

Entry 9:
Pm3Pr2Er3: relaxed, PBE.

Unit cell a=5.105 b=5.123 c=10.813 alpha=103.70 beta=103.65 gamma=90.00
Fractional coordinates of all 8 atoms:
Pm: 0.122 0.122 0.245
Pm: 0.000 0.500 0.000
Pm: 0.878 0.878 0.755
Pr: 0.750 0.250 0.501
Pr: 0.250 0.750 0.499
Er: 0.623 0.623 0.247
Er: 0.377 0.377 0.753
Er: 0.500 0.000 0.000

Calculated values
SG	Immm
DFT formation energy	0.020	eV/atom
ρ	7594	kg/m³
energy relative to the lowest polymorph listed for this composition	0.0	meV/atom

=====

Entry 10:
Co2AgH: relaxed, PBE.

Unit cell a=2.695 b=2.695 c=6.813 alpha=90.00 beta=90.00 gamma=120.00
Fractional coordinates of all 4 atoms:
Co: 0.000 0.000 0.007
Co: 0.333 0.667 0.284
Ag: 0.667 0.333 0.668
H: 0.000 0.000 0.385

Calculated values
SG	P3m1
ρ	8786	kg/m³
energy relative to the lowest polymorph listed for this composition	21.8	meV/atom

=====

Entry 11:
Nd5Sm3H12: relaxed, PBE.

Unit cell a=11.756 b=11.756 c=11.756 alpha=109.47 beta=109.47 gamma=109.47
Fractional coordinates of all 80 atoms:
Sm: 0.750 0.375 0.125
Sm: 0.875 0.750 0.125
Sm: 0.375 0.750 0.625
Sm: 0.250 0.125 0.375
Sm: 0.875 0.125 0.250
Sm: 0.375 0.625 0.250
Sm: 0.625 0.375 0.750
Sm: 0.125 0.875 0.750
Sm: 0.750 0.875 0.625
Sm: 0.625 0.250 0.375
Sm: 0.125 0.250 0.875
Sm: 0.250 0.625 0.875
Nd: 0.125 0.375 0.250
Nd: 0.000 0.500 0.000
Nd: 0.000 0.000 0.000
Nd: 0.375 0.250 0.125
Nd: 0.500 0.000 0.500
Nd: 0.500 0.500 0.000
Nd: 0.125 0.750 0.375
Nd: 0.750 0.125 0.875
Nd: 0.750 0.625 0.375
Nd: 0.375 0.125 0.750
Nd: 0.625 0.875 0.250
Nd: 0.500 0.500 0.500
Nd: 0.500 0.000 0.000
Nd: 0.000 0.000 0.500
Nd: 0.250 0.375 0.625
Nd: 0.250 0.875 0.125
Nd: 0.000 0.500 0.500
Nd: 0.875 0.250 0.625
Nd: 0.625 0.750 0.875
Nd: 0.875 0.625 0.750
H: 0.728 0.155 0.070
H: 0.342 0.570 0.415
H: 0.930 0.345 0.272
H: 0.570 0.228 0.155
H: 0.573 0.728 0.658
H: 0.930 0.585 0.158
H: 0.342 0.772 0.427
H: 0.085 0.927 0.155
H: 0.585 0.930 0.658
H: 0.728 0.573 0.158
H: 0.772 0.430 0.345
H: 0.842 0.915 0.070
H: 0.155 0.728 0.570
H: 0.345 0.415 0.073
H: 0.073 0.915 0.345
H: 0.427 0.155 0.585
H: 0.073 0.158 0.228
H: 0.430 0.658 0.085
H: 0.842 0.927 0.272
H: 0.155 0.427 0.085
H: 0.345 0.930 0.772
H: 0.585 0.655 0.427
H: 0.915 0.842 0.570
H: 0.772 0.342 0.927
H: 0.415 0.345 0.573
H: 0.085 0.158 0.430
H: 0.228 0.658 0.073
H: 0.158 0.073 0.728
H: 0.655 0.070 0.228
H: 0.845 0.573 0.915
H: 0.570 0.342 0.915
H: 0.573 0.845 0.415
H: 0.927 0.842 0.772
H: 0.927 0.085 0.655
H: 0.845 0.272 0.430
H: 0.158 0.085 0.930
H: 0.655 0.585 0.927
H: 0.415 0.070 0.342
H: 0.272 0.427 0.842
H: 0.228 0.570 0.655
H: 0.915 0.073 0.845
H: 0.658 0.228 0.573
H: 0.430 0.772 0.845
H: 0.070 0.415 0.842
H: 0.427 0.272 0.342
H: 0.070 0.655 0.728
H: 0.658 0.430 0.585
H: 0.272 0.845 0.930

Calculated values
SG	Ia-3d
E_tot	-4.34	eV per atom
ρ	6291	kg/m³

=====

Entry 12:
LiScBIr2: relaxed, PBE.

Unit cell a=4.127 b=4.127 c=4.099 alpha=90.00 beta=90.00 gamma=90.00
Fractional coordinates of all 5 atoms:
Sc: 0.500 0.500 0.500
B: 0.000 0.000 0.000
Ir: 0.000 0.500 0.000
Ir: 0.500 0.000 0.000
Li: 0.000 0.000 0.500

Calculated values
SG	P4/mmm
DFT formation energy	-0.620	eV/atom
ρ	10636	kg/m³

=====

Entry 13:
TiMn2CrRu: relaxed, PBE.

Unit cell a=4.362 b=4.387 c=4.362 alpha=90.00 beta=90.00 gamma=90.00
Fractional coordinates of all 5 atoms:
Ru: 0.000 0.000 0.000
Mn: 0.000 0.000 0.500
Mn: 0.500 0.000 0.000
Ti: 0.500 0.500 0.500
Cr: 0.000 0.500 0.000

Calculated values
SG	P4/mmm
DFT formation energy	1.334	eV/atom
ρ	6184	kg/m³

=====

Entry 14:
La3Pm6Sm2In: relaxed, PBE.

Unit cell a=6.273 b=6.273 c=12.008 alpha=95.07 beta=95.07 gamma=120.14
Fractional coordinates of all 12 atoms:
La: 0.171 0.829 0.500
La: 0.829 0.171 0.500
La: 0.500 0.500 0.500
Pm: 0.920 0.595 0.757
Pm: 0.756 0.756 0.245
Pm: 0.080 0.405 0.243
Pm: 0.595 0.920 0.757
Pm: 0.244 0.244 0.755
Pm: 0.405 0.080 0.243
Sm: 0.334 0.666 0.000
Sm: 0.666 0.334 0.000
In: 0.000 0.000 0.000

Calculated values
SG	C2/m
DFT formation energy	-0.045	eV/atom
ρ	7029	kg/m³

=====

Entry 15:
Sm2CdIr: relaxed, PBE.

Unit cell a=5.143 b=5.143 c=5.143 alpha=60.00 beta=60.00 gamma=60.00
Fractional coordinates of all 4 atoms:
Ir: 0.000 0.000 0.000
Sm: 0.250 0.250 0.250
Sm: 0.750 0.750 0.750
Cd: 0.500 0.500 0.500

Calculated values
SG	Fm-3m
DFT formation energy	-0.464	eV/atom
ρ	10447	kg/m³
energy relative to the lowest polymorph listed for this composition	59.7	meV/atom

=====

Entry 16:
Sm2BeBPt6: relaxed, PBE.

Unit cell a=5.722 b=5.722 c=6.541 alpha=115.94 beta=115.94 gamma=90.00
Fractional coordinates of all 10 atoms:
Sm: 0.710 0.210 0.420
Sm: 0.210 0.710 0.420
Be: 0.569 0.570 0.138
B: 0.071 0.072 0.142
Pt: 0.724 0.725 0.942
Pt: 0.780 0.780 0.559
Pt: 0.217 0.218 0.942
Pt: 0.724 0.218 0.942
Pt: 0.276 0.276 0.552
Pt: 0.217 0.725 0.942

Calculated values
SG	I4mm
DFT formation energy	-0.921	eV/atom
ρ	14716	kg/m³

=====

Entry 17:
ZrMn22B6: relaxed, PBE.

Unit cell a=7.495 b=7.495 c=7.495 alpha=60.00 beta=60.00 gamma=60.00
Fractional coordinates of all 29 atoms:
Zr: 0.000 0.000 0.000
Mn: 0.750 0.750 0.750
Mn: 0.250 0.250 0.250
Mn: 0.619 0.619 0.144
Mn: 0.619 0.619 0.619
Mn: 0.619 0.144 0.619
Mn: 0.144 0.619 0.619
Mn: 0.381 0.381 0.856
Mn: 0.381 0.381 0.381
Mn: 0.381 0.856 0.381
Mn: 0.856 0.381 0.381
Mn: 0.646 0.000 0.354
Mn: 0.000 0.646 0.354
Mn: 0.000 0.000 0.354
Mn: 0.000 0.646 0.000
Mn: 0.646 0.000 0.000
Mn: 0.000 0.000 0.646
Mn: 0.000 0.354 0.000
Mn: 0.000 0.354 0.646
Mn: 0.646 0.354 0.000
Mn: 0.354 0.000 0.646
Mn: 0.354 0.000 0.000
Mn: 0.354 0.646 0.000
B: 0.270 0.730 0.270
B: 0.730 0.270 0.270
B: 0.730 0.730 0.270
B: 0.730 0.270 0.730
B: 0.270 0.730 0.730
B: 0.270 0.270 0.730

Calculated values
SG	Fm-3m
DFT formation energy	-0.207	eV/atom
ρ	7612	kg/m³

=====

Entry 18:
Hg2Te: relaxed, PBE.

Unit cell a=8.687 b=8.687 c=6.878 alpha=78.81 beta=78.81 gamma=20.27
Fractional coordinates of all 6 atoms:
Hg: 0.455 0.455 0.842
Hg: 0.125 0.125 0.463
Hg: 0.875 0.875 0.537
Hg: 0.545 0.545 0.158
Te: 0.800 0.800 0.190
Te: 0.200 0.200 0.810

Calculated values
SG	C2/m
uncorrected formation energy	0.16	eV per formula unit
ρ	9961	kg/m³
energy relative to the lowest polymorph listed for this composition	81.4	meV/atom

=====

Entry 19:
AlAgGe: relaxed, PBE.

Unit cell a=3.951 b=2.955 c=9.341 alpha=81.07 beta=90.00 gamma=90.00
Fractional coordinates of all 6 atoms:
Ge: 0.724 0.273 0.163
Ge: 0.224 0.387 0.942
Al: 0.224 0.705 0.300
Al: 0.724 0.123 0.468
Ag: 0.224 0.557 0.603
Ag: 0.724 0.969 0.780

Calculated values
SG	Pm
DFT formation energy	0.095	eV/atom
ρ	6396	kg/m³

=====

Entry 20:
NdSm2YTe6: relaxed, PBE.

Unit cell a=7.850 b=7.850 c=8.447 alpha=62.32 beta=62.32 gamma=60.00
Fractional coordinates of all 10 atoms:
Nd: 0.821 0.821 0.538
Sm: 0.512 0.512 0.465
Sm: 0.010 0.010 0.970
Y: 0.323 0.323 0.031
Te: 0.599 0.228 0.250
Te: 0.228 0.923 0.250
Te: 0.923 0.599 0.250
Te: 0.412 0.724 0.754
Te: 0.724 0.110 0.754
Te: 0.110 0.412 0.754

Calculated values
SG	R3
uncorrected formation energy	-13.79	eV per formula unit
ρ	5672	kg/m³